Below is a geometry-optimized K23Rb6Cd structure, with properties calculated at the PBE level.

Properties
Total energy: -124.3 eV for the cell shown
ΔH_f (0 K): 0.9 eV/f.u.
Total magnetization: 0.00 μB per formula unit
DOS at the Fermi energy: 26.3 states/eV/f.u.

Lattice parameters (Å, degrees): 20.9006 20.9006 20.9006 90.00 90.00 90.00
With the nearest neighbours (Å) after each atom.
Space group Fm-3m (No. 225)
Unique sites:
K  0.0000  0.0000  0.0000 (multiplicity 4)  8 K 4.29
K  0.0000  0.2500  0.2500 (multiplicity 24)  8 K 4.27-4.61
K  0.1184  0.1184  0.1184 (multiplicity 32)  7 K 4.29-4.71
K  0.1672  0.1672  0.3328 (multiplicity 32)  6 K 4.27-4.71
Rb  0.0000  0.0000  0.3089 (multiplicity 24)  1 Cd 3.99
Cd  0.0000  0.0000  0.5000 (multiplicity 4)  6 Rb 3.99